First-principles (PBE+U) data for a geometry-optimized Cs2Rb2MnO4 structure, as listed in Alexandria via LeMat-Bulk. Values from VASP.

Calculated values
DFT total energy	-39.665	eV/cell
space-group type	I4/mmm (139)

The structure in Quantum ESPRESSO input format:
```
&SYSTEM
  ibrav = 0, nat = 9, ntyp = 4
/
ATOMIC_SPECIES
Rb 85.47 Rb.upf
O 16.00 O.upf
Cs 132.91 Cs.upf
Mn 54.94 Mn.upf
ATOMIC_POSITIONS crystal
Rb 0.5000 0.2500 0.7500
O 0.5939 0.7969 0.7969
O 0.4061 0.2031 0.2031
O 0.0000 0.7969 0.2031
Cs 0.0000 0.3250 0.3250
Cs 0.0000 0.6750 0.6750
Rb 0.5000 0.7500 0.2500
O 0.0000 0.2031 0.7969
Mn 0.0000 0.0000 0.0000
CELL_PARAMETERS angstrom
-1.8509 -4.1746 4.6855
5.8064 2.9560 0.5957
-3.2135 5.6729 -0.5468
```